# 1
Density functional theory data (GGA-PBE) for an optimized crystal structure of InRu3.

Structure (CIF):
```
data_InRu3
_cell_length_a 2.841
_cell_length_b 2.841
_cell_length_c 7.653
_cell_angle_alpha 90.00
_cell_angle_beta 90.00
_cell_angle_gamma 90.00
_symmetry_space_group_name_H-M 'P 4/m m m'
_symmetry_Int_Tables_number 123
_symmetry_space_group_name_Hall '-P 4 2'
loop_
_atom_site_label
_atom_site_type_symbol
_atom_site_fract_x
_atom_site_fract_y
_atom_site_fract_z
_atom_site_occupancy
In1 In 0.000 0.000 0.000 1
Ru1 Ru 0.000 0.000 0.500 1
Ru2 Ru 0.500 0.500 0.271 1
```

* calculated formation energy: 0.18 eV per atom

***

# 2
Density functional theory data (GGA-PBE) for an optimized crystal structure of TcSO.

Structure (CIF):
```
data_TcSO
_cell_length_a 5.057
_cell_length_b 5.284
_cell_length_c 7.340
_cell_angle_alpha 90.00
_cell_angle_beta 122.45
_cell_angle_gamma 90.00
_symmetry_space_group_name_H-M 'P 1 21/c 1'
_symmetry_Int_Tables_number 14
_symmetry_space_group_name_Hall '-P 2ybc'
loop_
_atom_site_label
_atom_site_type_symbol
_atom_site_fract_x
_atom_site_fract_y
_atom_site_fract_z
_atom_site_occupancy
Tc1 Tc 0.096 0.227 0.117 1
S1 S 0.408 0.579 0.613 1
O1 O 0.077 0.083 0.367 1
```

* formation energy without anion corrections: -808 meV/atom

***

# 3
Density functional theory data (GGA-PBE) for an optimized crystal structure of Ba3Zn2Ge2.

Structure (CIF):
```
data_Ba3Zn2Ge2
_cell_length_a 12.377
_cell_length_b 4.967
_cell_length_c 7.887
_cell_angle_alpha 90.00
_cell_angle_beta 112.76
_cell_angle_gamma 90.00
_symmetry_space_group_name_H-M 'C 1 2/m 1'
_symmetry_Int_Tables_number 12
_symmetry_space_group_name_Hall '-C 2y'
loop_
_atom_site_label
_atom_site_type_symbol
_atom_site_fract_x
_atom_site_fract_y
_atom_site_fract_z
_atom_site_occupancy
Ba1 Ba 0.000 0.000 0.000 1
Ba2 Ba 0.175 0.000 0.620 1
Zn1 Zn 0.194 0.500 0.923 1
Ge1 Ge 0.017 0.500 0.342 1
```

* calculated formation energy: -0.39 eV per atom

***

# 4
Density functional theory data (GGA-PBE) for an optimized crystal structure of CePa2OsN4.

Structure (CIF):
```
data_CePa2OsN4
_cell_length_a 3.410
_cell_length_b 11.821
_cell_length_c 11.708
_cell_angle_alpha 90.00
_cell_angle_beta 90.00
_cell_angle_gamma 90.00
_symmetry_space_group_name_H-M 'C m c m'
_symmetry_Int_Tables_number 63
_symmetry_space_group_name_Hall '-C 2c 2'
loop_
_atom_site_label
_atom_site_type_symbol
_atom_site_fract_x
_atom_site_fract_y
_atom_site_fract_z
_atom_site_occupancy
Ce1 Ce 0.000 0.105 0.250 1
Pa1 Pa 0.000 0.368 0.055 1
Os1 Os 0.000 0.155 0.750 1
N1 N 0.000 0.000 0.000 1
N2 N 0.000 0.277 0.619 1
N3 N 0.000 0.453 0.250 1
```

* formation energy without anion corrections: -1173 meV/atom

***

# 5
Density functional theory data (GGA-PBE) for an optimized crystal structure of K3CaIr.

Structure (CIF):
```
data_K3CaIr
_cell_length_a 6.223
_cell_length_b 6.223
_cell_length_c 6.223
_cell_angle_alpha 90.00
_cell_angle_beta 90.00
_cell_angle_gamma 90.00
_symmetry_space_group_name_H-M 'P m -3 m'
_symmetry_Int_Tables_number 221
_symmetry_space_group_name_Hall '-P 4 2 3'
loop_
_atom_site_label
_atom_site_type_symbol
_atom_site_fract_x
_atom_site_fract_y
_atom_site_fract_z
_atom_site_occupancy
K1 K 0.000 0.000 0.500 1
Ca1 Ca 0.500 0.500 0.500 1
Ir1 Ir 0.000 0.000 0.000 1
```

* calculated formation energy: 0.77 eV per atom

***

# 6
Density functional theory data (GGA-PBE) for an optimized crystal structure of NaBeSF2.

Structure (CIF):
```
data_NaBeSF2
_cell_length_a 3.902
_cell_length_b 3.902
_cell_length_c 5.291
_cell_angle_alpha 90.00
_cell_angle_beta 90.00
_cell_angle_gamma 90.00
_symmetry_space_group_name_H-M 'P 4/m m m'
_symmetry_Int_Tables_number 123
_symmetry_space_group_name_Hall '-P 4 2'
loop_
_atom_site_label
_atom_site_type_symbol
_atom_site_fract_x
_atom_site_fract_y
_atom_site_fract_z
_atom_site_occupancy
Na1 Na 0.000 0.000 0.000 1
Be1 Be 0.500 0.500 0.500 1
S1 S 0.000 0.000 0.500 1
F1 F 0.000 0.500 0.000 1
```

* formation energy without anion corrections: -525 meV/atom

***

# 7
Density functional theory data (GGA-PBE) for an optimized crystal structure of LaAl2Cl.

Structure (CIF):
```
data_LaAl2Cl
_cell_length_a 3.725
_cell_length_b 5.312
_cell_length_c 5.467
_cell_angle_alpha 90.00
_cell_angle_beta 90.00
_cell_angle_gamma 90.00
_symmetry_space_group_name_H-M 'P m m m'
_symmetry_Int_Tables_number 47
_symmetry_space_group_name_Hall '-P 2 2'
loop_
_atom_site_label
_atom_site_type_symbol
_atom_site_fract_x
_atom_site_fract_y
_atom_site_fract_z
_atom_site_occupancy
La1 La 0.000 0.000 0.000 1
Al1 Al 0.500 0.500 0.238 1
Cl1 Cl 0.000 0.000 0.500 1
```

* formation energy without anion corrections: -367 meV/atom

***

# 8
Density functional theory data (GGA-PBE) for an optimized crystal structure of PmPrSiIr.

Structure (CIF):
```
data_PmPrSiIr
_cell_length_a 4.120
_cell_length_b 4.339
_cell_length_c 10.781
_cell_angle_alpha 90.00
_cell_angle_beta 90.00
_cell_angle_gamma 90.00
_symmetry_space_group_name_H-M 'A m m 2'
_symmetry_Int_Tables_number 38
_symmetry_space_group_name_Hall 'A 2 -2'
loop_
_atom_site_label
_atom_site_type_symbol
_atom_site_fract_x
_atom_site_fract_y
_atom_site_fract_z
_atom_site_occupancy
Pm1 Pm 0.000 0.000 0.000 1
Pr1 Pr 0.500 0.000 0.717 1
Si1 Si 0.000 0.000 0.300 1
Ir1 Ir 0.500 0.000 0.432 1
```

* formation energy without anion corrections: -747 meV/atom

***

# 9
Density functional theory data (GGA-PBE) for an optimized crystal structure of Pr11Y4Er9.

Structure (CIF):
```
data_Pr11Y4Er9
_cell_length_a 17.048
_cell_length_b 25.890
_cell_length_c 3.674
_cell_angle_alpha 90.00
_cell_angle_beta 90.00
_cell_angle_gamma 90.00
_symmetry_space_group_name_H-M 'C m m m'
_symmetry_Int_Tables_number 65
_symmetry_space_group_name_Hall '-C 2 2'
loop_
_atom_site_label
_atom_site_type_symbol
_atom_site_fract_x
_atom_site_fract_y
_atom_site_fract_z
_atom_site_occupancy
Pr1 Pr 0.000 0.000 0.000 1
Pr2 Pr 0.000 0.161 0.000 1
Pr3 Pr 0.000 0.368 0.000 1
Pr4 Pr 0.209 0.500 0.000 1
Pr5 Pr 0.222 0.181 0.000 1
Y1 Y 0.158 0.398 0.500 1
Er1 Er 0.000 0.500 0.500 1
Er2 Er 0.102 0.268 0.500 1
Er3 Er 0.140 0.073 0.500 1
```

* calculated formation energy: 0.06 eV per atom

***

# 10
Density functional theory data (GGA-PBE) for an optimized crystal structure of Sb5Te12As3.

Structure (CIF):
```
data_Sb5Te12As3
_cell_length_a 18.127
_cell_length_b 18.127
_cell_length_c 18.127
_cell_angle_alpha 90.00
_cell_angle_beta 90.00
_cell_angle_gamma 90.00
_symmetry_space_group_name_H-M 'I a -3 d'
_symmetry_Int_Tables_number 230
_symmetry_space_group_name_Hall '-I 4bd 2c 3'
loop_
_atom_site_label
_atom_site_type_symbol
_atom_site_fract_x
_atom_site_fract_y
_atom_site_fract_z
_atom_site_occupancy
Sb1 Sb 0.000 0.000 0.000 1
Sb2 Sb 0.000 0.250 0.375 1
Te1 Te 0.003 0.057 0.660 1
As1 As 0.000 0.250 0.125 1
```

* formation energy without anion corrections: 246 meV/atom

***

# 11
Density functional theory data (GGA-PBE) for an optimized crystal structure of Pm2NdDyHo6.

Structure (CIF):
```
data_Pm2NdDyHo6
_cell_length_a 9.042
_cell_length_b 15.040
_cell_length_c 9.673
_cell_angle_alpha 90.00
_cell_angle_beta 98.56
_cell_angle_gamma 90.00
_symmetry_space_group_name_H-M 'C 1 2/c 1'
_symmetry_Int_Tables_number 15
_symmetry_space_group_name_Hall '-C 2yc'
loop_
_atom_site_label
_atom_site_type_symbol
_atom_site_fract_x
_atom_site_fract_y
_atom_site_fract_z
_atom_site_occupancy
Pm1 Pm 0.246 0.051 0.043 1
Nd1 Nd 0.000 0.019 0.750 1
Dy1 Dy 0.000 0.408 0.250 1
Ho1 Ho 0.068 0.191 0.443 1
Ho2 Ho 0.099 0.393 0.619 1
Ho3 Ho 0.204 0.225 0.815 1
```

* calculated formation energy: 0.12 eV per atom

***

# 12
Density functional theory data (GGA-PBE) for an optimized crystal structure of B2MoOs.

Structure (CIF):
```
data_B2MoOs
_cell_length_a 3.2908
_cell_length_b 3.2908
_cell_length_c 14.0581
_cell_angle_alpha 90.00
_cell_angle_beta 90.00
_cell_angle_gamma 120.00
_symmetry_space_group_name_H-M 'R -3 m'
_symmetry_Int_Tables_number 166
_symmetry_space_group_name_Hall '-R 3 2"'
loop_
_atom_site_label
_atom_site_type_symbol
_atom_site_fract_x
_atom_site_fract_y
_atom_site_fract_z
_atom_site_occupancy
B1 B 0.0000 0.0000 0.2432 1
Mo1 Mo 0.0000 0.0000 0.0000 1
Os1 Os 0.0000 0.0000 0.5000 1
```

* calculated formation energy: 0.09 eV per atom

***

# 13
Density functional theory data (GGA-PBE) for an optimized crystal structure of Cu4HgIr.

Structure (CIF):
```
data_Cu4HgIr
_cell_length_a 6.905
_cell_length_b 6.905
_cell_length_c 6.905
_cell_angle_alpha 90.00
_cell_angle_beta 90.00
_cell_angle_gamma 90.00
_symmetry_space_group_name_H-M 'F -4 3 m'
_symmetry_Int_Tables_number 216
_symmetry_space_group_name_Hall 'F -4 2 3'
loop_
_atom_site_label
_atom_site_type_symbol
_atom_site_fract_x
_atom_site_fract_y
_atom_site_fract_z
_atom_site_occupancy
Cu1 Cu 0.124 0.124 0.376 1
Hg1 Hg 0.000 0.000 0.000 1
Ir1 Ir 0.250 0.250 0.750 1
```

* calculated formation energy: 0.22 eV per atom

***

# 14
Density functional theory data (GGA-PBE) for an optimized crystal structure of K2Zn2InO4.

Structure (CIF):
```
data_K2Zn2InO4
_cell_length_a 14.243
_cell_length_b 3.294
_cell_length_c 6.632
_cell_angle_alpha 90.00
_cell_angle_beta 110.29
_cell_angle_gamma 90.00
_symmetry_space_group_name_H-M 'C 1 2/m 1'
_symmetry_Int_Tables_number 12
_symmetry_space_group_name_Hall '-C 2y'
loop_
_atom_site_label
_atom_site_type_symbol
_atom_site_fract_x
_atom_site_fract_y
_atom_site_fract_z
_atom_site_occupancy
K1 K 0.120 0.000 0.043 1
Zn1 Zn 0.181 0.500 0.536 1
In1 In 0.000 0.000 0.500 1
O1 O 0.039 0.500 0.311 1
O2 O 0.167 0.000 0.697 1
```

* formation energy without anion corrections: -1254 meV/atom

***

# 15
Density functional theory data (GGA-PBE) for an optimized crystal structure of Cs2S6I.

Structure (CIF):
```
data_Cs2S6I
_cell_length_a 6.173
_cell_length_b 8.093
_cell_length_c 8.138
_cell_angle_alpha 89.96
_cell_angle_beta 70.20
_cell_angle_gamma 70.58
_symmetry_space_group_name_H-M 'P -1'
_symmetry_Int_Tables_number 2
_symmetry_space_group_name_Hall '-P 1'
loop_
_atom_site_label
_atom_site_type_symbol
_atom_site_fract_x
_atom_site_fract_y
_atom_site_fract_z
_atom_site_occupancy
Cs1 Cs 0.002 0.207 0.293 1
S1 S 0.182 0.671 0.171 1
S2 S 0.392 0.766 0.973 1
S3 S 0.397 0.477 0.265 1
I1 I 0.500 0.000 0.500 1
```

* formation energy without anion corrections: -465 meV/atom

***

# 16
Density functional theory data (GGA-PBE) for an optimized crystal structure of RbPuCuO5.

Structure (CIF):
```
data_RbPuCuO5
_cell_length_a 8.423
_cell_length_b 10.247
_cell_length_c 6.463
_cell_angle_alpha 90.00
_cell_angle_beta 118.83
_cell_angle_gamma 90.00
_symmetry_space_group_name_H-M 'C 1 2/c 1'
_symmetry_Int_Tables_number 15
_symmetry_space_group_name_Hall '-C 2yc'
loop_
_atom_site_label
_atom_site_type_symbol
_atom_site_fract_x
_atom_site_fract_y
_atom_site_fract_z
_atom_site_occupancy
Rb1 Rb 0.000 0.090 0.250 1
Pu1 Pu 0.250 0.250 0.000 1
Cu1 Cu 0.000 0.450 0.250 1
O1 O 0.000 0.171 0.750 1
O2 O 0.144 0.321 0.194 1
O3 O 0.190 0.420 0.831 1
```

* formation energy without anion corrections: -1751 meV/atom

***

# 17
Density functional theory data (GGA-PBE) for an optimized crystal structure of BaAc3Ge4.

Structure (CIF):
```
data_BaAc3Ge4
_cell_length_a 4.372
_cell_length_b 6.964
_cell_length_c 17.709
_cell_angle_alpha 90.00
_cell_angle_beta 90.00
_cell_angle_gamma 90.00
_symmetry_space_group_name_H-M 'I m m m'
_symmetry_Int_Tables_number 71
_symmetry_space_group_name_Hall '-I 2 2'
loop_
_atom_site_label
_atom_site_type_symbol
_atom_site_fract_x
_atom_site_fract_y
_atom_site_fract_z
_atom_site_occupancy
Ba1 Ba 0.000 0.000 0.000 1
Ac1 Ac 0.000 0.000 0.500 1
Ac2 Ac 0.000 0.500 0.302 1
Ge1 Ge 0.000 0.321 0.132 1
```

* calculated formation energy: -0.51 eV per atom

***

# 18
Density functional theory data (GGA-PBE) for an optimized crystal structure of ZrMn2Fe.

Structure (CIF):
```
data_ZrMn2Fe
_cell_length_a 3.881
_cell_length_b 3.881
_cell_length_c 8.065
_cell_angle_alpha 90.00
_cell_angle_beta 90.00
_cell_angle_gamma 90.00
_symmetry_space_group_name_H-M 'I -4 m 2'
_symmetry_Int_Tables_number 119
_symmetry_space_group_name_Hall 'I -4 -2'
loop_
_atom_site_label
_atom_site_type_symbol
_atom_site_fract_x
_atom_site_fract_y
_atom_site_fract_z
_atom_site_occupancy
Zr1 Zr 0.000 0.000 0.000 1
Mn1 Mn 0.000 0.000 0.500 1
Mn2 Mn 0.000 0.500 0.250 1
Fe1 Fe 0.000 0.500 0.750 1
```

* calculated formation energy: 0.16 eV per atom

***

# 19
Density functional theory data (GGA-PBE) for an optimized crystal structure of SiGeCl.

Structure (CIF):
```
data_SiGeCl
_cell_length_a 6.905
_cell_length_b 3.990
_cell_length_c 11.770
_cell_angle_alpha 90.00
_cell_angle_beta 101.70
_cell_angle_gamma 90.00
_symmetry_space_group_name_H-M 'C 1 m 1'
_symmetry_Int_Tables_number 8
_symmetry_space_group_name_Hall 'C -2y'
loop_
_atom_site_label
_atom_site_type_symbol
_atom_site_fract_x
_atom_site_fract_y
_atom_site_fract_z
_atom_site_occupancy
Si1 Si 0.000 0.000 0.000 1
Si2 Si 0.237 0.000 0.720 1
Ge1 Ge 0.356 0.000 0.066 1
Ge2 Ge 0.427 0.500 0.788 1
Cl1 Cl 0.175 0.000 0.541 1
Cl2 Cl 0.422 0.000 0.255 1
```

* formation energy without anion corrections: -385 meV/atom

***

# 20
Density functional theory data (GGA-PBE) for an optimized crystal structure of AcPm2Br8.

Structure (CIF):
```
data_AcPm2Br8
_cell_length_a 9.060
_cell_length_b 13.282
_cell_length_c 5.735
_cell_angle_alpha 90.00
_cell_angle_beta 106.57
_cell_angle_gamma 90.00
_symmetry_space_group_name_H-M 'C 1 2/m 1'
_symmetry_Int_Tables_number 12
_symmetry_space_group_name_Hall '-C 2y'
loop_
_atom_site_label
_atom_site_type_symbol
_atom_site_fract_x
_atom_site_fract_y
_atom_site_fract_z
_atom_site_occupancy
Ac1 Ac 0.000 0.000 0.000 1
Pm1 Pm 0.000 0.317 0.500 1
Br1 Br 0.000 0.237 0.000 1
Br2 Br 0.131 0.500 0.822 1
Br3 Br 0.192 0.128 0.576 1
```

* formation energy without anion corrections: -1731 meV/atom